1.
Ca2CdP2 after structural relaxation, computed with PBE.

The structure in CIF format:
```
data_Ca2CdP2
_cell_length_a 8.300
_cell_length_b 8.300
_cell_length_c 7.108
_cell_angle_alpha 90.00
_cell_angle_beta 90.00
_cell_angle_gamma 150.67
_space_group_name_H-M_alt 'P 1'
_space_group_IT_number 1
loop_
_space_group_symop_operation_xyz
'x,y,z'
loop_
_atom_site_label
_atom_site_fract_x
_atom_site_fract_y
_atom_site_fract_z
_atom_site_occupancy
P1 0.937 0.063 0.979 1
Cd1 0.901 0.099 0.610 1
P2 0.319 0.681 0.507 1
P3 0.681 0.319 0.007 1
Ca1 0.537 0.463 0.771 1
Ca2 0.463 0.537 0.271 1
Ca3 0.299 0.701 0.922 1
Cd2 0.099 0.901 0.110 1
P4 0.063 0.937 0.479 1
Ca4 0.701 0.299 0.422 1
```

Values from the calculation:
formation enthalpy at 0 K = -0.9084 eV/atom
magnetization = 0.00 μB per formula unit
E = -4.056 eV per atom

2.
DyScBeCo after structural relaxation, computed with PBE.

The structure in CIF format:
```
data_DyScBeCo
_cell_length_a 4.611
_cell_length_b 4.611
_cell_length_c 4.611
_cell_angle_alpha 60.00
_cell_angle_beta 60.00
_cell_angle_gamma 60.00
_space_group_name_H-M_alt 'P 1'
_space_group_IT_number 1
loop_
_space_group_symop_operation_xyz
'x,y,z'
loop_
_atom_site_label
_atom_site_fract_x
_atom_site_fract_y
_atom_site_fract_z
_atom_site_occupancy
Sc1 0.750 0.750 0.750 1
Be1 0.500 0.500 0.500 1
Dy1 0.250 0.250 0.250 1
Co1 0.000 0.000 0.000 1
```

Values from the calculation:
formation enthalpy at 0 K = -0.0862 eV/atom
magnetization = 0.00 μB per formula unit
E = -5.528 eV per atom

3.
Pr5Bi2Rh after structural relaxation, computed with PBE.

The structure in CIF format:
```
data_Pr5Bi2Rh
_cell_length_a 6.087
_cell_length_b 5.926
_cell_length_c 16.655
_cell_angle_alpha 90.00
_cell_angle_beta 90.00
_cell_angle_gamma 120.90
_space_group_name_H-M_alt 'P 1'
_space_group_IT_number 1
loop_
_space_group_symop_operation_xyz
'x,y,z'
loop_
_atom_site_label
_atom_site_fract_x
_atom_site_fract_y
_atom_site_fract_z
_atom_site_occupancy
Pr1 0.915 0.829 0.622 1
Pr2 0.246 0.492 0.750 1
Bi1 0.243 0.486 0.558 1
Bi2 0.757 0.514 0.058 1
Pr3 0.754 0.508 0.250 1
Pr4 0.423 0.847 0.390 1
Pr5 0.577 0.153 0.610 1
Pr6 0.577 0.153 0.890 1
Pr7 0.085 0.171 0.378 1
Pr8 0.085 0.171 0.122 1
Bi3 0.757 0.514 0.442 1
Pr9 0.915 0.829 0.878 1
Rh1 0.270 0.540 0.250 1
Pr10 0.423 0.847 0.110 1
Bi4 0.243 0.486 0.942 1
Rh2 0.730 0.460 0.750 1
```

Values from the calculation:
formation enthalpy at 0 K = -0.4393 eV/atom
magnetization = 0.00 μB per formula unit
E = -5.316 eV per atom

4.
KPaBi after structural relaxation, computed with PBE.

The structure in CIF format:
```
data_KPaBi
_cell_length_a 4.376
_cell_length_b 4.376
_cell_length_c 14.578
_cell_angle_alpha 81.37
_cell_angle_beta 81.37
_cell_angle_gamma 60.00
_space_group_name_H-M_alt 'P 1'
_space_group_IT_number 1
loop_
_space_group_symop_operation_xyz
'x,y,z'
loop_
_atom_site_label
_atom_site_fract_x
_atom_site_fract_y
_atom_site_fract_z
_atom_site_occupancy
Pa1 0.319 0.319 0.043 1
Bi1 0.395 0.395 0.816 1
Bi2 0.605 0.605 0.184 1
Pa2 0.681 0.681 0.957 1
K1 0.880 0.880 0.359 1
K2 0.120 0.120 0.641 1
```

Values from the calculation:
formation enthalpy at 0 K = 0.0634 eV/atom
magnetization = 0.00 μB per formula unit
E = -4.761 eV per atom

5.
GaSn after structural relaxation, computed with PBE.

The structure in CIF format:
```
data_GaSn
_cell_length_a 9.370
_cell_length_b 9.370
_cell_length_c 4.070
_cell_angle_alpha 90.00
_cell_angle_beta 90.00
_cell_angle_gamma 120.00
_space_group_name_H-M_alt 'P 1'
_space_group_IT_number 1
loop_
_space_group_symop_operation_xyz
'x,y,z'
loop_
_atom_site_label
_atom_site_fract_x
_atom_site_fract_y
_atom_site_fract_z
_atom_site_occupancy
Sn1 0.243 0.971 0.250 1
Ga1 0.395 0.863 0.750 1
Ga2 0.468 0.605 0.750 1
Sn2 0.971 0.728 0.750 1
Ga3 0.532 0.395 0.250 1
Ga4 0.605 0.137 0.250 1
Sn3 0.728 0.757 0.250 1
Sn4 0.757 0.029 0.750 1
Sn5 0.029 0.272 0.250 1
Ga5 0.863 0.468 0.250 1
Sn6 0.272 0.243 0.750 1
Ga6 0.137 0.532 0.750 1
```

Values from the calculation:
formation enthalpy at 0 K = 0.1114 eV/atom
magnetization = 0.00 μB per formula unit
E = -3.404 eV per atom

6.
LaSm2Zn3 after structural relaxation, computed with PBE.

The structure in CIF format:
```
data_LaSm2Zn3
_cell_length_a 3.677
_cell_length_b 3.677
_cell_length_c 11.082
_cell_angle_alpha 90.00
_cell_angle_beta 90.00
_cell_angle_gamma 90.00
_space_group_name_H-M_alt 'P 1'
_space_group_IT_number 1
loop_
_space_group_symop_operation_xyz
'x,y,z'
loop_
_atom_site_label
_atom_site_fract_x
_atom_site_fract_y
_atom_site_fract_z
_atom_site_occupancy
Zn1 0.000 0.000 0.322 1
Sm1 0.500 0.500 0.163 1
La1 0.500 0.500 0.500 1
Zn2 0.000 0.000 0.678 1
Zn3 0.000 0.000 0.000 1
Sm2 0.500 0.500 0.837 1
```

Values from the calculation:
formation enthalpy at 0 K = -0.3108 eV/atom
magnetization = 0.00 μB per formula unit
E = -3.342 eV per atom

Which formula does entry 1 have?
Ca2CdP2